{
  "formula": "Tb4NdSm2Er2",
  "functional": "GGA-PBE",
  "state": "optimized geometry",
  "lattice_angstrom": [[5.0590, 0.0000, 0.0000], [-2.5295, 7.5892, 0.0085], [0.0000, -2.5422, 7.5759]],
  "species": ["Tb", "Tb", "Tb", "Tb", "Nd", "Sm", "Sm", "Er", "Er"],
  "frac_coords": [[0.7780, 0.5560, 0.6680], [0.2220, 0.4440, 0.3320], [0.5561, 0.1122, 0.3330], [0.4439, 0.8878, 0.6670], [0.0000, 0.0000, 0.0000], [0.8886, 0.7773, 0.3343], [0.1114, 0.2227, 0.6657], [0.3321, 0.6641, 0.9997], [0.6679, 0.3359, 0.0003]],
  "volume_a3_per_fu": 291.0,
  "magmom_total_mub_per_fu": 0.00,
  "formation_energy_ev_per_atom": 0.018
}